No. 1
{"formula": "PrNdEuPb", "functional": "PBE", "state": "relaxed", "lattice": [[5.6781, 0.0000, 0.0000], [2.8391, 4.9174, 0.0000], [2.8391, 1.6391, 4.6362]], "species": ["Pb", "Nd", "Pr", "Eu"], "fractional_positions": [[0.5000, 0.5000, 0.5000], [0.7500, 0.7500, 0.7500], [0.2500, 0.2500, 0.2500], [0.0000, 0.0000, 0.0000]], "dft_energy_ev_per_atom": -6.07, "crystal_system": "cubic", "density_g_cm3": 8.3}

No. 2
{"formula": "NdSmEuPb", "functional": "PBE", "state": "relaxed", "lattice": [[-4.8065, 1.2785, -2.6508], [-2.2786, -3.6633, -3.6266], [-4.7618, -2.7005, 1.3403]], "species": ["Sm", "Pb", "Eu", "Nd"], "fractional_positions": [[0.0000, 0.0000, 0.0000], [0.2500, 0.2500, 0.2500], [0.7500, 0.7500, 0.7500], [0.5000, 0.5000, 0.5000]], "dft_energy_ev_per_atom": -6.04, "crystal_system": "cubic", "density_g_cm3": 8.6}

No. 3
{"formula": "NdEuTlPb", "functional": "PBE", "state": "relaxed", "lattice": [[-0.9639, 5.4828, -0.5287], [-3.5320, 2.5675, 3.4932], [1.9594, 3.5660, 3.8359]], "species": ["Eu", "Pb", "Nd", "Tl"], "fractional_positions": [[0.2500, 0.2500, 0.2500], [0.5000, 0.5000, 0.5000], [0.7500, 0.7500, 0.7500], [0.0000, 0.0000, 0.0000]], "dft_energy_ev_per_atom": -5.72, "crystal_system": "cubic", "density_g_cm3": 9.5}

No. 4
{"formula": "NdEuZnPb", "functional": "PBE", "state": "relaxed", "lattice": [[5.4562, 0.0000, 0.0000], [2.7281, 4.7252, 0.0000], [2.7281, 1.5751, 4.4550]], "species": ["Eu", "Nd", "Zn", "Pb"], "fractional_positions": [[0.2500, 0.2500, 0.2500], [0.7500, 0.7500, 0.7500], [0.0000, 0.0000, 0.0000], [0.5000, 0.5000, 0.5000]], "dft_energy_ev_per_atom": -5.41, "crystal_system": "cubic", "density_g_cm3": 8.2}

No. 5
{"formula": "NdEuPd2", "functional": "PBE", "state": "relaxed", "lattice": [[5.1188, 0.0000, 0.0000], [2.5594, 4.4330, 0.0000], [2.5594, 1.4777, 4.1795]], "species": ["Nd", "Pd", "Pd", "Eu"], "fractional_positions": [[0.5000, 0.5000, 0.5000], [0.2500, 0.2500, 0.2500], [0.7500, 0.7500, 0.7500], [0.0000, 0.0000, 0.0000]], "dft_energy_ev_per_atom": -7.07, "crystal_system": "cubic", "density_g_cm3": 8.9, "relative_energy_ev_per_atom": 0.016}

No. 6
{"formula": "NdEuPd", "functional": "PBE", "state": "relaxed", "lattice": [[5.0651, 0.0000, 0.0000], [2.5326, 4.3865, 0.0000], [2.5326, 1.4622, 4.1357]], "species": ["Eu", "Pd", "Nd"], "fractional_positions": [[0.0000, 0.0000, 0.0000], [0.2500, 0.2500, 0.2500], [0.5000, 0.5000, 0.5000]], "dft_energy_ev_per_atom": -7.15, "crystal_system": "cubic", "density_g_cm3": 7.3, "relative_energy_ev_per_atom": 0.055}

No. 7
{"formula": "NdEuPd", "functional": "PBE", "state": "relaxed", "lattice": [[-1.8041, 0.2877, 3.9191], [3.0954, -3.2634, 1.6645], [1.1098, 4.6629, 0.1685]], "species": ["Eu", "Nd", "Pd"], "fractional_positions": [[0.7193, 0.6667, 0.3333], [0.2603, 0.3333, 0.6667], [0.0204, 0.0000, 0.0000]], "dft_energy_ev_per_atom": -7.05, "crystal_system": "trigonal", "density_g_cm3": 7.8, "relative_energy_ev_per_atom": 0.154}

No. 8
{"formula": "NdEuPd4", "functional": "PBE", "state": "relaxed", "lattice": [[-5.4964, -0.3300, 0.5107], [-3.1871, -0.2345, -4.5131], [-2.6202, -4.6948, -1.2937]], "species": ["Pd", "Pd", "Nd", "Pd", "Eu", "Pd"], "fractional_positions": [[0.1253, 0.6249, 0.6249], [0.6249, 0.6249, 0.1253], [0.0000, 0.0000, 0.0000], [0.6249, 0.6249, 0.6249], [0.2500, 0.2500, 0.2500], [0.6249, 0.1253, 0.6249]], "dft_energy_ev_per_atom": -6.70, "crystal_system": "cubic", "density_g_cm3": 10.0}